No. 1
# KSiAuSe2S PBE optimized geometry
data_KSiAuSe2S
_chemical_formula_sum 'K2 Si2 Au2 Se4 S2'
_cell_length_a 8.4689
_cell_length_b 8.4689
_cell_length_c 9.9070
_cell_angle_alpha 90.00
_cell_angle_beta 90.00
_cell_angle_gamma 155.19
_symmetry_space_group_name_H-M 'P 1'
_symmetry_Int_Tables_number 1
loop_
_symmetry_equiv_pos_as_xyz
'x,y,z'
loop_
_atom_site_label
_atom_site_type_symbol
_atom_site_fract_x
_atom_site_fract_y
_atom_site_fract_z
Au1 Au 0.3825 0.6175 0.2500
Au2 Au 0.6175 0.3825 0.7500
K1 K 0.7146 0.2854 0.2500
K2 K 0.2854 0.7146 0.7500
S1 S 0.0361 0.9639 0.2500
S2 S 0.9639 0.0361 0.7500
Se1 Se 0.3944 0.6056 0.0072
Se2 Se 0.3944 0.6056 0.4928
Se3 Se 0.6056 0.3944 0.5072
Se4 Se 0.6056 0.3944 0.9928
Si1 Si 0.0000 0.0000 0.0000
Si2 Si 0.0000 0.0000 0.5000
# crystal system = orthorhombic
# calculated volume = 298.17 Å³/cell
# total DFT energy (no corrections) = -3.808 eV/atom



No. 2
# LiLuCuAs PBE optimized geometry
data_LiLuCuAs
_chemical_formula_sum 'Li1 Lu1 Cu1 As1'
_cell_length_a 4.6064
_cell_length_b 4.6064
_cell_length_c 4.6064
_cell_angle_alpha 60.00
_cell_angle_beta 60.00
_cell_angle_gamma 60.00
_symmetry_space_group_name_H-M 'P 1'
_symmetry_Int_Tables_number 1
loop_
_symmetry_equiv_pos_as_xyz
'x,y,z'
loop_
_atom_site_label
_atom_site_type_symbol
_atom_site_fract_x
_atom_site_fract_y
_atom_site_fract_z
As1 As 0.0000 0.0000 0.0000
Cu1 Cu 0.7500 0.7500 0.7500
Li1 Li 0.5000 0.5000 0.5000
Lu1 Lu 0.2500 0.2500 0.2500
# crystal system = cubic
# calculated volume = 69.11 Å³/cell
# E above lowest polymorph = 2.4 kJ/mol of atoms



No. 3
# Tm3S4 PBE optimized geometry
data_Tm3S4
_chemical_formula_sum 'Tm6 S8'
_cell_length_a 7.9168
_cell_length_b 7.9168
_cell_length_c 7.9168
_cell_angle_alpha 60.00
_cell_angle_beta 60.00
_cell_angle_gamma 60.00
_symmetry_space_group_name_H-M 'P 1'
_symmetry_Int_Tables_number 1
loop_
_symmetry_equiv_pos_as_xyz
'x,y,z'
loop_
_atom_site_label
_atom_site_type_symbol
_atom_site_fract_x
_atom_site_fract_y
_atom_site_fract_z
S1 S 0.8825 0.8825 0.3526
S2 S 0.3675 0.8974 0.3675
S3 S 0.3675 0.3675 0.3675
S4 S 0.8974 0.3675 0.3675
S5 S 0.8825 0.3526 0.8825
S6 S 0.8825 0.8825 0.8825
S7 S 0.3526 0.8825 0.8825
S8 S 0.3675 0.3675 0.8974
Tm1 Tm 0.1250 0.1250 0.1250
Tm2 Tm 0.6250 0.1250 0.1250
Tm3 Tm 0.1250 0.6250 0.1250
Tm4 Tm 0.5000 0.5000 0.5000
Tm5 Tm 0.1250 0.1250 0.6250
Tm6 Tm 0.7500 0.7500 0.7500
# crystal system = cubic
# calculated volume = 350.86 Å³/cell
# total DFT energy (no corrections) = -6.192 eV/atom



No. 4
# LiCuBPt PBE optimized geometry
data_LiCuBPt
_chemical_formula_sum 'Li1 Cu1 B1 Pt1'
_cell_length_a 3.9117
_cell_length_b 3.9117
_cell_length_c 3.9117
_cell_angle_alpha 60.00
_cell_angle_beta 60.00
_cell_angle_gamma 60.00
_symmetry_space_group_name_H-M 'P 1'
_symmetry_Int_Tables_number 1
loop_
_symmetry_equiv_pos_as_xyz
'x,y,z'
loop_
_atom_site_label
_atom_site_type_symbol
_atom_site_fract_x
_atom_site_fract_y
_atom_site_fract_z
B1 B 0.0000 0.0000 0.0000
Cu1 Cu 0.7500 0.7500 0.7500
Li1 Li 0.5000 0.5000 0.5000
Pt1 Pt 0.2500 0.2500 0.2500
# crystal system = cubic
# calculated volume = 42.32 Å³/cell
# E above lowest polymorph = 0.0 kJ/mol of atoms



No. 5
# HoHfCS PBE optimized geometry
data_HoHfCS
_chemical_formula_sum 'Ho2 Hf2 C2 S2'
_cell_length_a 3.5159
_cell_length_b 3.5159
_cell_length_c 12.4947
_cell_angle_alpha 90.00
_cell_angle_beta 90.00
_cell_angle_gamma 120.00
_symmetry_space_group_name_H-M 'P 1'
_symmetry_Int_Tables_number 1
loop_
_symmetry_equiv_pos_as_xyz
'x,y,z'
loop_
_atom_site_label
_atom_site_type_symbol
_atom_site_fract_x
_atom_site_fract_y
_atom_site_fract_z
C1 C 0.0000 0.0000 0.0000
C2 C 0.0000 0.0000 0.5000
Hf1 Hf 0.6667 0.3333 0.0946
Hf2 Hf 0.3333 0.6667 0.9054
Ho1 Ho 0.6667 0.3333 0.3924
Ho2 Ho 0.3333 0.6667 0.6076
S1 S 0.3333 0.6667 0.2327
S2 S 0.6667 0.3333 0.7673
# crystal system = trigonal
# calculated volume = 133.76 Å³/cell
# E above lowest polymorph = 3.4 kJ/mol of atoms



No. 6
# ZnH2O2 PBE optimized geometry
data_ZnH2O2
_chemical_formula_sum 'Zn2 H4 O4'
_cell_length_a 5.4343
_cell_length_b 5.4343
_cell_length_c 4.9607
_cell_angle_alpha 90.00
_cell_angle_beta 90.00
_cell_angle_gamma 147.38
_symmetry_space_group_name_H-M 'P 1'
_symmetry_Int_Tables_number 1
loop_
_symmetry_equiv_pos_as_xyz
'x,y,z'
loop_
_atom_site_label
_atom_site_type_symbol
_atom_site_fract_x
_atom_site_fract_y
_atom_site_fract_z
H1 H 0.4022 0.5978 0.2235
H2 H 0.0132 0.9868 0.4086
H3 H 0.5978 0.4022 0.7235
H4 H 0.9868 0.0132 0.9086
O1 O 0.3099 0.6901 0.1825
O2 O 0.0540 0.9460 0.2252
O3 O 0.6901 0.3099 0.6825
O4 O 0.9460 0.0540 0.7252
Zn1 Zn 0.6836 0.3164 0.2634
Zn2 Zn 0.3164 0.6836 0.7634
# crystal system = orthorhombic
# calculated volume = 78.97 Å³/cell
# total DFT energy (no corrections) = -4.702 eV/atom



No. 7
# Ba2TaBiS6 PBE optimized geometry
data_Ba2TaBiS6
_chemical_formula_sum 'Ba2 Ta1 Bi1 S6'
_cell_length_a 7.1290
_cell_length_b 7.1290
_cell_length_c 7.3646
_cell_angle_alpha 119.69
_cell_angle_beta 119.69
_cell_angle_gamma 60.04
_symmetry_space_group_name_H-M 'P 1'
_symmetry_Int_Tables_number 1
loop_
_symmetry_equiv_pos_as_xyz
'x,y,z'
loop_
_atom_site_label
_atom_site_type_symbol
_atom_site_fract_x
_atom_site_fract_y
_atom_site_fract_z
Ba1 Ba 0.7518 0.7518 0.2641
Ba2 Ba 0.2482 0.2482 0.7359
Bi1 Bi 0.0000 0.0000 0.0000
S1 S 0.2682 0.2682 0.1795
S2 S 0.7915 0.3107 0.3206
S3 S 0.3107 0.7915 0.3206
S4 S 0.6893 0.2085 0.6794
S5 S 0.2085 0.6893 0.6794
S6 S 0.7318 0.7318 0.8205
Ta1 Ta 0.5000 0.5000 0.5000
# crystal system = monoclinic
# calculated volume = 265.98 Å³/cell
# total DFT energy (no corrections) = -5.688 eV/atom



No. 8
# NaCdBi PBE optimized geometry
data_NaCdBi
_chemical_formula_sum 'Na2 Cd2 Bi2'
_cell_length_a 4.9883
_cell_length_b 4.9883
_cell_length_c 7.9510
_cell_angle_alpha 90.00
_cell_angle_beta 90.00
_cell_angle_gamma 120.00
_symmetry_space_group_name_H-M 'P 1'
_symmetry_Int_Tables_number 1
loop_
_symmetry_equiv_pos_as_xyz
'x,y,z'
loop_
_atom_site_label
_atom_site_type_symbol
_atom_site_fract_x
_atom_site_fract_y
_atom_site_fract_z
Bi1 Bi 0.6667 0.3333 0.1080
Bi2 Bi 0.3333 0.6667 0.6080
Cd1 Cd 0.6667 0.3333 0.4977
Cd2 Cd 0.3333 0.6667 0.9977
Na1 Na 0.0000 0.0000 0.3122
Na2 Na 0.0000 0.0000 0.8122
# crystal system = hexagonal
# calculated volume = 171.34 Å³/cell
# total DFT energy (no corrections) = -2.353 eV/atom